VASP calculation (meta-GGA SCAN) on a PBEsol-optimized structure of Ba2CuAu.

Distance to the lowest polymorph of the same formula   90.0 meV per atom
Space group   Fm-3m, No. 225
Calculated formation energy   -0.351 eV per atom

Cell lengths 5.5094, 5.5094, 5.5094 Å; angles 60.00, 60.00, 60.00 degrees
Closest atoms and distances in Å follow each position.
Element x y z (fractional)
Au  0.0000  0.0000  0.0000  8 Ba 3.37
Ba  0.7500  0.7500  0.7500  4 Cu 3.37, 4 Au 3.37
Ba  0.2500  0.2500  0.2500  4 Au 3.37, 4 Cu 3.37
Cu  0.5000  0.5000  0.5000  8 Ba 3.37